1.
A plane-wave DFT calculation with PBE was carried out for a relaxed structure of Nd2PuBr.

## Properties
energy = -6.8488 eV/atom
formation energy (no corrections) = -1.85 eV/f.u.
volume = 123.0 Å³/f.u.
magnetic moment = 1.599 μB/atom

abc: 3.702 3.702 10.585
angles: 79.93 79.93 60.00
Each line ends with the local moment (μB).
Sites, in units of the cell vectors:
Nd 0.744 0.744 0.768  0.06
Nd 0.256 0.256 0.232  0.06
Br 0.000 0.000 0.000  0.01
Pu 0.500 0.500 0.500  5.60


2.
A plane-wave DFT calculation with PBE was carried out for a relaxed structure of Nb6Ga3Si.

## Properties
energy = -7.6253 eV/atom
formation energy (no corrections) = -1.33 eV/f.u.
volume = 176.4 Å³/f.u.
magnetic moment = 0.000 μB/atom

abc: 4.995 7.723 9.148
angles: 90.00 89.83 90.00
Sites, in units of the cell vectors:
Nb 0.561 0.168 0.938
Nb 0.556 0.175 0.565
Nb 0.651 0.441 0.254
Nb 0.349 0.559 0.746
Nb 0.444 0.825 0.435
Nb 0.439 0.832 0.062
Nb 0.061 0.332 0.438
Nb 0.056 0.325 0.065
Nb 0.151 0.059 0.754
Nb 0.849 0.941 0.246
Nb 0.944 0.675 0.935
Nb 0.939 0.668 0.562
Ga 0.626 0.880 0.747
Ga 0.500 0.500 0.000
Ga 0.374 0.120 0.253
Ga 0.126 0.620 0.247
Ga 0.000 0.000 0.500
Ga 0.874 0.380 0.753
Si 0.500 0.500 0.500
Si 0.000 0.000 0.000


3.
A plane-wave DFT calculation with PBE was carried out for a relaxed structure of Ti2ReMo6.

## Properties
energy = -10.4121 eV/atom
volume = 142.7 Å³/f.u.
magnetic moment = 0.000 μB/atom

abc: 4.489 7.902 8.045
angles: 90.00 90.00 90.00
Sites, in units of the cell vectors:
Ti 0.000 0.337 0.765
Ti 0.500 0.837 0.735
Ti 0.500 0.163 0.265
Ti 0.000 0.663 0.235
Re 0.500 0.500 0.000
Re 0.000 0.000 0.500
Mo 0.000 0.000 0.168
Mo 0.000 0.664 0.575
Mo 0.000 0.667 0.900
Mo 0.500 0.167 0.600
Mo 0.500 0.164 0.925
Mo 0.500 0.500 0.332
Mo 0.000 0.000 0.832
Mo 0.000 0.336 0.425
Mo 0.000 0.333 0.100
Mo 0.500 0.833 0.400
Mo 0.500 0.836 0.075
Mo 0.500 0.500 0.668


4.
A plane-wave DFT calculation with PBE was carried out for a relaxed structure of TaNi3Sb.

## Properties
energy = -5.5900 eV/atom
formation energy (no corrections) = 5.37 eV/f.u.
volume = 96.7 Å³/f.u.
magnetic moment = 0.000 μB/atom

abc: 4.590 4.590 4.590
angles: 90.00 90.00 90.00
Sites, in units of the cell vectors:
Sb 0.500 0.500 0.500
Ni 0.000 0.500 0.000
Ni 0.000 0.000 0.500
Ni 0.500 0.000 0.000
Ta 0.000 0.000 0.000


5.
A plane-wave DFT calculation with PBE was carried out for a relaxed structure of Pm2BiAu6.

## Properties
energy = -4.1919 eV/atom
volume = 206.8 Å³/f.u.
magnetic moment = 0.000 μB/atom

abc: 4.120 7.558 7.641
angles: 119.64 90.01 90.00
Sites, in units of the cell vectors:
Pm 0.500 0.795 0.589
Pm 0.500 0.205 0.411
Bi 0.000 0.000 0.000
Au 0.000 0.463 0.300
Au 0.000 0.163 0.700
Au 0.000 0.537 0.700
Au 0.500 0.315 0.000
Au 0.000 0.837 0.300
Au 0.500 0.685 0.000


6.
A plane-wave DFT calculation with PBE was carried out for a relaxed structure of PmPr4Y2Mg.

## Properties
energy = -4.7412 eV/atom
volume = 268.6 Å³/f.u.
magnetic moment = 0.000 μB/atom

abc: 5.826 5.835 9.822
angles: 53.54 90.00 90.00
Sites, in units of the cell vectors:
Pm 0.000 0.500 0.500
Pr 0.000 0.734 0.766
Pr 0.000 0.266 0.234
Pr 0.500 0.765 0.235
Pr 0.500 0.235 0.765
Y 0.000 0.000 0.000
Y 0.500 0.000 0.500
Mg 0.500 0.500 0.000


7.
A plane-wave DFT calculation with PBE was carried out for a relaxed structure of NaGa4S7.

## Properties
energy = -4.1685 eV/atom
formation energy (no corrections) = -7.70 eV/f.u.
volume = 290.2 Å³/f.u.
magnetic moment = 0.090 μB/atom

abc: 6.022 6.388 15.090
angles: 90.00 90.00 90.00
Each line ends with the local moment (μB).
Sites, in units of the cell vectors:
Na 0.545 0.982 0.500  0.00
Na 0.045 0.018 0.000  0.00
Ga 0.593 0.668 0.879  0.00
Ga 0.072 0.815 0.254  0.00
Ga 0.572 0.185 0.246  0.00
Ga 0.093 0.332 0.621  0.00
Ga 0.093 0.332 0.379  0.00
Ga 0.593 0.668 0.121  0.00
Ga 0.072 0.815 0.746  0.00
Ga 0.572 0.185 0.754  0.00
S 0.973 0.676 0.123  0.10
S 0.473 0.324 0.377  0.10
S 0.455 0.336 0.882  0.16
S 0.955 0.664 0.618  0.16
S 0.955 0.664 0.382  0.16
S 0.455 0.336 0.118  0.16
S 0.464 0.833 0.748  0.03
S 0.964 0.167 0.752  0.03
S 0.964 0.167 0.248  0.03
S 0.464 0.833 0.252  0.03
S 0.494 0.862 0.000  0.11
S 0.994 0.138 0.500  0.11
S 0.973 0.676 0.877  0.10
S 0.473 0.324 0.623  0.10


8.
A plane-wave DFT calculation with PBE was carried out for a relaxed structure of Pm2MgSn4Pt3.

## Properties
energy = -5.2947 eV/atom
volume = 229.0 Å³/f.u.
magnetic moment = 0.000 μB/atom

abc: 4.424 4.424 11.701
angles: 90.00 90.00 90.00
Sites, in units of the cell vectors:
Pm 0.500 0.000 0.250
Pm 0.000 0.500 0.750
Mg 0.500 0.500 0.500
Sn 0.500 0.500 0.000
Sn 0.000 0.000 0.000
Sn 0.500 0.000 0.644
Sn 0.000 0.500 0.356
Pt 0.000 0.000 0.500
Pt 0.500 0.000 0.867
Pt 0.000 0.500 0.133


9.
A plane-wave DFT calculation with PBE was carried out for a relaxed structure of Ac12CdRh6.

## Properties
energy = -5.4730 eV/atom
volume = 630.5 Å³/f.u.
magnetic moment = 0.000 μB/atom

abc: 9.356 9.356 9.356
angles: 109.47 109.47 109.47
Sites, in units of the cell vectors:
Ac 0.312 0.130 0.818
Ac 0.312 0.494 0.182
Ac 0.688 0.506 0.818
Ac 0.688 0.870 0.182
Ac 0.130 0.818 0.312
Ac 0.494 0.182 0.312
Ac 0.506 0.818 0.688
Ac 0.870 0.182 0.688
Ac 0.818 0.312 0.130
Ac 0.182 0.312 0.494
Ac 0.818 0.688 0.506
Ac 0.182 0.688 0.870
Cd 0.000 0.000 0.000
Rh 0.368 0.500 0.868
Rh 0.632 0.500 0.132
Rh 0.500 0.868 0.368
Rh 0.500 0.132 0.632
Rh 0.868 0.368 0.500
Rh 0.132 0.632 0.500


10.
A plane-wave DFT calculation with PBE was carried out for a relaxed structure of Li2Tl2Ag.

## Properties
energy = -2.2749 eV/atom
volume = 106.9 Å³/f.u.
magnetic moment = 0.000 μB/atom

abc: 3.835 3.835 7.754
angles: 75.68 75.68 90.00
Sites, in units of the cell vectors:
Tl 0.395 0.395 0.209
Tl 0.605 0.605 0.791
Ag 0.000 0.000 0.000
Li 0.750 0.250 0.500
Li 0.250 0.750 0.500


11.
A plane-wave DFT calculation with PBE was carried out for a relaxed structure of Tm2In8Ag.

## Properties
energy = -3.3063 eV/atom
volume = 272.6 Å³/f.u.
magnetic moment = 0.000 μB/atom

abc: 4.724 4.724 12.216
angles: 90.00 90.00 90.00
Sites, in units of the cell vectors:
Tm 0.000 0.000 0.313
Tm 0.000 0.000 0.687
In 0.000 0.500 0.500
In 0.500 0.000 0.500
In 0.500 0.500 0.313
In 0.500 0.500 0.687
In 0.000 0.500 0.134
In 0.500 0.000 0.134
In 0.000 0.500 0.866
In 0.500 0.000 0.866
Ag 0.000 0.000 0.000


12.
A plane-wave DFT calculation with PBE was carried out for a relaxed structure of CaBe2Pt2.

## Properties
energy = -5.0984 eV/atom
volume = 77.4 Å³/f.u.
magnetic moment = 0.000 μB/atom

abc: 4.024 4.024 9.557
angles: 90.00 90.00 90.00
Sites, in units of the cell vectors:
Ca 0.500 0.000 0.249
Ca 0.000 0.500 0.751
Be 0.000 0.500 0.376
Be 0.500 0.000 0.624
Be 0.500 0.500 0.000
Be 0.000 0.000 0.000
Pt 0.500 0.500 0.500
Pt 0.000 0.000 0.500
Pt 0.000 0.500 0.124
Pt 0.500 0.000 0.876


13.
A plane-wave DFT calculation with PBE was carried out for a relaxed structure of Pm2Ho5.

## Properties
energy = -4.6151 eV/atom
volume = 226.7 Å³/f.u.
magnetic moment = 0.000 μB/atom

abc: 6.284 9.217 8.473
angles: 95.41 111.77 90.00
Sites, in units of the cell vectors:
Pm 0.260 0.393 0.855
Pm 0.405 0.107 0.145
Pm 0.740 0.607 0.145
Pm 0.595 0.893 0.855
Ho 0.310 0.465 0.289
Ho 0.020 0.035 0.711
Ho 0.119 0.679 0.571
Ho 0.547 0.821 0.429
Ho 0.881 0.321 0.429
Ho 0.453 0.179 0.571
Ho 0.980 0.965 0.289
Ho 0.690 0.535 0.711
Ho 0.835 0.250 0.000
Ho 0.165 0.750 0.000


14.
A plane-wave DFT calculation with PBE was carried out for a relaxed structure of Tb4CN2O.

## Properties
energy = -7.8452 eV/atom
formation energy (no corrections) = -13.41 eV/f.u.
volume = 122.9 Å³/f.u.
magnetic moment = 0.000 μB/atom

abc: 3.516 6.080 6.092
angles: 109.33 90.00 90.00
Sites, in units of the cell vectors:
Tb 0.500 0.250 0.253
Tb 0.500 0.750 0.747
Tb 0.000 0.243 0.744
Tb 0.000 0.757 0.256
C 0.000 0.000 0.000
N 0.500 0.000 0.500
N 0.000 0.500 0.500
O 0.500 0.500 0.000


15.
A plane-wave DFT calculation with PBE was carried out for a relaxed structure of CeGdMgIr.

## Properties
energy = -7.9394 eV/atom
volume = 93.2 Å³/f.u.
magnetic moment = 1.618 μB/atom

abc: 5.089 5.089 5.089
angles: 60.00 60.00 60.00
Each line ends with the local moment (μB).
Sites, in units of the cell vectors:
Gd 0.000 0.000 0.000  6.98
Mg 0.250 0.250 0.250  0.00
Ir 0.750 0.750 0.750  -0.03
Ce 0.500 0.500 0.500  -0.52


16.
A plane-wave DFT calculation with PBE was carried out for a relaxed structure of HfCr2Fe.

## Properties
energy = -8.8992 eV/atom
volume = 58.4 Å³/f.u.
magnetic moment = 0.000 μB/atom

abc: 6.809 6.809 5.433
angles: 51.20 51.20 90.00
Sites, in units of the cell vectors:
Cr 0.572 0.125 0.250
Cr 0.178 0.625 0.250
Cr 0.375 0.428 0.750
Cr 0.875 0.822 0.750
Hf 0.000 0.000 0.000
Hf 0.750 0.250 0.500
Fe 0.500 0.500 0.000
Fe 0.250 0.750 0.500


17.
A plane-wave DFT calculation with PBE was carried out for a relaxed structure of PaTcBrO6.

## Properties
energy = -7.4915 eV/atom
formation energy (no corrections) = -16.14 eV/f.u.
volume = 169.6 Å³/f.u.
magnetic moment = 0.000 μB/atom

abc: 8.051 7.430 7.884
angles: 118.11 120.70 90.00
Sites, in units of the cell vectors:
Pa 0.500 0.000 0.500
Pa 0.000 0.000 0.500
Tc 0.500 0.500 0.000
Tc 0.500 0.000 0.000
Br 0.751 0.501 0.501
Br 0.249 0.499 0.499
O 0.424 0.674 0.848
O 0.808 0.058 0.615
O 0.771 0.037 0.213
O 0.441 0.676 0.213
O 0.441 0.037 0.213
O 0.771 0.676 0.213
O 0.576 0.326 0.152
O 0.192 0.942 0.385
O 0.229 0.963 0.787
O 0.559 0.324 0.787
O 0.559 0.963 0.787
O 0.229 0.324 0.787


18.
A plane-wave DFT calculation with PBE was carried out for a relaxed structure of CoRuPb2.

## Properties
energy = -5.3871 eV/atom
volume = 76.7 Å³/f.u.
magnetic moment = 0.461 μB/atom

abc: 5.378 5.378 4.973
angles: 72.28 72.28 34.22
Each line ends with the local moment (μB).
Sites, in units of the cell vectors:
Co 0.222 0.222 0.208  1.48
Pb 0.980 0.980 0.065  -0.02
Pb 0.769 0.769 0.690  -0.01
Ru 0.529 0.529 0.537  0.44


19.
A plane-wave DFT calculation with PBE was carried out for a relaxed structure of Tm6TcHg.

## Properties
energy = -4.6372 eV/atom
volume = 236.7 Å³/f.u.
magnetic moment = 0.000 μB/atom

abc: 6.555 7.025 6.533
angles: 57.48 78.85 68.93
Sites, in units of the cell vectors:
Tm 0.741 0.473 0.625
Tm 0.741 0.098 0.375
Tm 0.259 0.902 0.625
Tm 0.259 0.527 0.375
Tm 0.738 0.732 0.000
Tm 0.262 0.268 0.000
Tc 0.500 0.500 0.000
Hg 0.000 0.000 0.000


20.
A plane-wave DFT calculation with PBE was carried out for a relaxed structure of Rb2ZnBr6F.

## Properties
energy = -2.3551 eV/atom
formation energy (no corrections) = -8.43 eV/f.u.
volume = 304.8 Å³/f.u.
magnetic moment = 0.000 μB/atom

abc: 7.260 7.260 7.732
angles: 62.00 62.00 90.00
Sites, in units of the cell vectors:
Zn 0.000 0.000 0.000
Br 0.218 0.218 0.564
Br 0.782 0.782 0.436
Br 0.255 0.255 0.000
Br 0.745 0.745 0.000
Br 0.745 0.255 0.000
Br 0.255 0.745 0.000
Rb 0.750 0.250 0.500
Rb 0.250 0.750 0.500
F 0.500 0.500 0.000